# 1
# MoIr2Pd | OQMD via LeMat-Bulk | GGA-PBE | relaxed
# Excess energy over the best structure of this formula in the dataset   0 meV per atom
# Size of the total moment   0.001 μB/atom
data_MoIr2Pd
_chemical_formula_sum 'Mo4 Ir8 Pd4'
_cell_length_a 4.4378
_cell_length_b 5.5380
_cell_length_c 9.6472
_cell_angle_alpha 90.00
_cell_angle_beta 90.00
_cell_angle_gamma 90.00
_symmetry_space_group_name_H-M 'A m m 2'
_symmetry_Int_Tables_number 38
loop_
_symmetry_equiv_pos_as_xyz
'x,y,z'
'-x,-y,z'
'-x,y,z'
'x,-y,z'
'x,y+1/2,z+1/2'
'-x,-y+1/2,z+1/2'
'-x,y+1/2,z+1/2'
'x,-y+1/2,z+1/2'
loop_
_atom_site_label
_atom_site_fract_x
_atom_site_fract_y
_atom_site_fract_z
_atom_site_occupancy
Mo1 0.0000 0.0000 0.0000 1
Mo2 0.5000 0.0000 0.3384 1
Ir1 0.0000 0.0000 0.5028 1
Ir2 0.5000 0.0000 0.8395 1
Ir3 0.5000 0.2479 0.5854 1
Pd1 0.0000 0.2476 0.2507 1

# 2
# Mo2Ir3Pd3 | OQMD via LeMat-Bulk | GGA-PBE | relaxed
# Excess energy over the best structure of this formula in the dataset   30 meV per atom
# Size of the total moment   0.000 μB/atom
data_Mo2Ir3Pd3
_chemical_formula_sum 'Mo2 Ir3 Pd3'
_cell_length_a 5.5106
_cell_length_b 4.4726
_cell_length_c 5.5459
_cell_angle_alpha 90.00
_cell_angle_beta 119.44
_cell_angle_gamma 90.00
_symmetry_space_group_name_H-M 'P 1 m 1'
_symmetry_Int_Tables_number 6
loop_
_symmetry_equiv_pos_as_xyz
'x,y,z'
'x,-y,z'
loop_
_atom_site_label
_atom_site_fract_x
_atom_site_fract_y
_atom_site_fract_z
_atom_site_occupancy
Mo1 0.0000 0.0000 0.0000 1
Mo2 0.3415 0.5000 0.6892 1
Ir1 0.0064 0.0000 0.5063 1
Ir2 0.5026 0.0000 0.0010 1
Ir3 0.8423 0.5000 0.6912 1
Pd1 0.3362 0.5000 0.1855 1
Pd2 0.5035 0.0000 0.5085 1
Pd3 0.8410 0.5000 0.1877 1

# 3
# Mo2Ir5Pd | OQMD via LeMat-Bulk | GGA-PBE | relaxed
# Size of the total moment   0.000 μB/atom
data_Mo2Ir5Pd
_chemical_formula_sum 'Mo4 Ir10 Pd2'
_cell_length_a 4.4244
_cell_length_b 5.5619
_cell_length_c 9.6077
_cell_angle_alpha 90.00
_cell_angle_beta 90.00
_cell_angle_gamma 90.00
_symmetry_space_group_name_H-M 'A m m 2'
_symmetry_Int_Tables_number 38
loop_
_symmetry_equiv_pos_as_xyz
'x,y,z'
'-x,-y,z'
'-x,y,z'
'x,-y,z'
'x,y+1/2,z+1/2'
'-x,-y+1/2,z+1/2'
'-x,y+1/2,z+1/2'
'x,-y+1/2,z+1/2'
loop_
_atom_site_label
_atom_site_fract_x
_atom_site_fract_y
_atom_site_fract_z
_atom_site_occupancy
Mo1 0.0000 0.0000 0.0000 1
Mo2 0.5000 0.0000 0.3299 1
Ir1 0.0000 0.0000 0.5007 1
Ir2 0.0000 0.2484 0.2496 1
Ir3 0.5000 0.2468 0.5803 1
Pd1 0.5000 0.0000 0.8331 1

# 4
# MoIrPd2 | OQMD via LeMat-Bulk | GGA-PBE | relaxed
# Excess energy over the best structure of this formula in the dataset   208 meV per atom
# Size of the total moment   0.070 μB/atom
data_MoIrPd2
_chemical_formula_sum 'Mo4 Ir4 Pd8'
_cell_length_a 6.2551
_cell_length_b 6.2551
_cell_length_c 6.2551
_cell_angle_alpha 90.00
_cell_angle_beta 90.00
_cell_angle_gamma 90.00
_symmetry_space_group_name_H-M 'F -4 3 m'
_symmetry_Int_Tables_number 216
_symmetry_space_group_name_Hall 'F -4 2 3'
loop_
_atom_site_label
_atom_site_fract_x
_atom_site_fract_y
_atom_site_fract_z
_atom_site_occupancy
Mo1 0.0000 0.0000 0.0000 1
Ir1 0.2500 0.2500 0.7500 1
Pd1 0.0000 0.0000 0.5000 1
Pd2 0.2500 0.2500 0.2500 1

# 5
# PrMoIr | OQMD via LeMat-Bulk | GGA-PBE | relaxed
# Excess energy over the best structure of this formula in the dataset   0 meV per atom
# Size of the total moment   0.007 μB/atom
data_PrMoIr
_chemical_formula_sum 'Pr4 Mo4 Ir4'
_cell_length_a 6.5586
_cell_length_b 6.5586
_cell_length_c 6.5586
_cell_angle_alpha 90.00
_cell_angle_beta 90.00
_cell_angle_gamma 90.00
_symmetry_space_group_name_H-M 'F -4 3 m'
_symmetry_Int_Tables_number 216
_symmetry_space_group_name_Hall 'F -4 2 3'
loop_
_atom_site_label
_atom_site_fract_x
_atom_site_fract_y
_atom_site_fract_z
_atom_site_occupancy
Pr1 0.0000 0.0000 0.0000 1
Mo1 0.0000 0.0000 0.5000 1
Ir1 0.2500 0.2500 0.2500 1

# 6
# PrMoIr | OQMD via LeMat-Bulk | GGA-PBE | relaxed
# Excess energy over the best structure of this formula in the dataset   815 meV per atom
# Size of the total moment   0.981 μB/atom
data_PrMoIr
_chemical_formula_sum 'Pr4 Mo4 Ir4'
_cell_length_a 6.5943
_cell_length_b 6.5943
_cell_length_c 6.5943
_cell_angle_alpha 90.00
_cell_angle_beta 90.00
_cell_angle_gamma 90.00
_symmetry_space_group_name_H-M 'F -4 3 m'
_symmetry_Int_Tables_number 216
_symmetry_space_group_name_Hall 'F -4 2 3'
loop_
_atom_site_label
_atom_site_fract_x
_atom_site_fract_y
_atom_site_fract_z
_atom_site_occupancy
Pr1 0.0000 0.0000 0.0000 1
Mo1 0.2500 0.2500 0.2500 1
Ir1 0.2500 0.2500 0.7500 1

# 7
# MoIr2Pt | OQMD via LeMat-Bulk | GGA-PBE | relaxed
# Excess energy over the best structure of this formula in the dataset   3 meV per atom
# Size of the total moment   0.001 μB/atom
data_MoIr2Pt
_chemical_formula_sum 'Mo4 Ir8 Pt4'
_cell_length_a 4.4435
_cell_length_b 5.5618
_cell_length_c 9.6646
_cell_angle_alpha 90.00
_cell_angle_beta 90.00
_cell_angle_gamma 90.00
_symmetry_space_group_name_H-M 'A m m 2'
_symmetry_Int_Tables_number 38
loop_
_symmetry_equiv_pos_as_xyz
'x,y,z'
'-x,-y,z'
'-x,y,z'
'x,-y,z'
'x,y+1/2,z+1/2'
'-x,-y+1/2,z+1/2'
'-x,y+1/2,z+1/2'
'x,-y+1/2,z+1/2'
loop_
_atom_site_label
_atom_site_fract_x
_atom_site_fract_y
_atom_site_fract_z
_atom_site_occupancy
Mo1 0.0000 0.0000 0.0000 1
Mo2 0.5000 0.0000 0.3377 1
Ir1 0.0000 0.0000 0.5033 1
Ir2 0.5000 0.0000 0.8388 1
Ir3 0.5000 0.2475 0.5839 1
Pt1 0.0000 0.2473 0.2504 1

# 8
# Mo2Ir3Pt3 | OQMD via LeMat-Bulk | GGA-PBE | relaxed
# Excess energy over the best structure of this formula in the dataset   3 meV per atom
# Size of the total moment   0.001 μB/atom
data_Mo2Ir3Pt3
_chemical_formula_sum 'Mo2 Ir3 Pt3'
_cell_length_a 5.5515
_cell_length_b 4.4821
_cell_length_c 5.5634
_cell_angle_alpha 90.00
_cell_angle_beta 119.69
_cell_angle_gamma 90.00
_symmetry_space_group_name_H-M 'P 1 m 1'
_symmetry_Int_Tables_number 6
loop_
_symmetry_equiv_pos_as_xyz
'x,y,z'
'x,-y,z'
loop_
_atom_site_label
_atom_site_fract_x
_atom_site_fract_y
_atom_site_fract_z
_atom_site_occupancy
Mo1 0.0000 0.0000 0.0000 1
Mo2 0.3353 0.5000 0.6801 1
Ir1 0.0020 0.0000 0.5049 1
Ir2 0.5005 0.0000 0.9978 1
Ir3 0.8387 0.5000 0.6789 1
Pt1 0.3298 0.5000 0.1747 1
Pt2 0.5018 0.0000 0.5085 1
Pt3 0.8380 0.5000 0.1799 1

# 9
# Mo2Ir3Pt3 | OQMD via LeMat-Bulk | GGA-PBE | relaxed
# Excess energy over the best structure of this formula in the dataset   0 meV per atom
# Size of the total moment   0.000 μB/atom
data_Mo2Ir3Pt3
_chemical_formula_sum 'Mo2 Ir3 Pt3'
_cell_length_a 5.5692
_cell_length_b 5.5692
_cell_length_c 4.4756
_cell_angle_alpha 90.00
_cell_angle_beta 90.00
_cell_angle_gamma 120.00
_symmetry_space_group_name_H-M 'P -6 m 2'
_symmetry_Int_Tables_number 187
_symmetry_space_group_name_Hall 'P -6 2'
loop_
_atom_site_label
_atom_site_fract_x
_atom_site_fract_y
_atom_site_fract_z
_atom_site_occupancy
Mo1 0.0000 0.0000 0.0000 1
Mo2 0.3333 0.6667 0.5000 1
Ir1 0.0042 0.5021 0.0000 1
Pt1 0.3318 0.1659 0.5000 1

# 10
# Mo2IrPt | OQMD via LeMat-Bulk | GGA-PBE | relaxed
# Excess energy over the best structure of this formula in the dataset   0 meV per atom
# Size of the total moment   0.000 μB/atom
data_Mo2IrPt
_chemical_formula_sum 'Mo2 Ir1 Pt1'
_cell_length_a 2.7637
_cell_length_b 4.4718
_cell_length_c 4.8993
_cell_angle_alpha 90.00
_cell_angle_beta 90.00
_cell_angle_gamma 90.00
_symmetry_space_group_name_H-M 'P m m 2'
_symmetry_Int_Tables_number 25
loop_
_symmetry_equiv_pos_as_xyz
'x,y,z'
'-x,-y,z'
'-x,y,z'
'x,-y,z'
loop_
_atom_site_label
_atom_site_fract_x
_atom_site_fract_y
_atom_site_fract_z
_atom_site_occupancy
Mo1 0.0000 0.0000 0.0000 1
Mo2 0.0000 0.5000 0.3345 1
Ir1 0.5000 0.5000 0.8382 1
Pt1 0.5000 0.0000 0.4986 1

# 11
# MoIr2Pt | OQMD via LeMat-Bulk | GGA-PBE | relaxed
# Excess energy over the best structure of this formula in the dataset   0 meV per atom
# Size of the total moment   0.001 μB/atom
data_MoIr2Pt
_chemical_formula_sum 'Mo4 Ir8 Pt4'
_cell_length_a 4.4530
_cell_length_b 9.6500
_cell_length_c 5.5547
_cell_angle_alpha 90.00
_cell_angle_beta 90.00
_cell_angle_gamma 90.00
_symmetry_space_group_name_H-M 'A m a 2'
_symmetry_Int_Tables_number 40
loop_
_symmetry_equiv_pos_as_xyz
'x,y,z'
'-x,-y,z'
'-x+1/2,y,z'
'x+1/2,-y,z'
'x,y+1/2,z+1/2'
'-x,-y+1/2,z+1/2'
'-x+1/2,y+1/2,z+1/2'
'x+1/2,-y+1/2,z+1/2'
loop_
_atom_site_label
_atom_site_fract_x
_atom_site_fract_y
_atom_site_fract_z
_atom_site_occupancy
Mo1 0.2500 0.1685 0.0000 1
Ir1 0.2500 0.1677 0.4947 1
Ir2 0.2500 0.4197 0.7505 1
Pt1 0.2500 0.4151 0.2527 1

# 12
# MoIr2Pt | OQMD via LeMat-Bulk | GGA-PBE | relaxed
# Excess energy over the best structure of this formula in the dataset   498 meV per atom
# Size of the total moment   0.002 μB/atom
data_MoIr2Pt
_chemical_formula_sum 'Mo4 Ir8 Pt4'
_cell_length_a 6.2699
_cell_length_b 6.2699
_cell_length_c 6.2699
_cell_angle_alpha 90.00
_cell_angle_beta 90.00
_cell_angle_gamma 90.00
_symmetry_space_group_name_H-M 'F -4 3 m'
_symmetry_Int_Tables_number 216
_symmetry_space_group_name_Hall 'F -4 2 3'
loop_
_atom_site_label
_atom_site_fract_x
_atom_site_fract_y
_atom_site_fract_z
_atom_site_occupancy
Mo1 0.0000 0.0000 0.0000 1
Ir1 0.0000 0.0000 0.5000 1
Ir2 0.2500 0.2500 0.2500 1
Pt1 0.2500 0.2500 0.7500 1

Number 1: ΔE_f -69 kJ/mol of formula units, total DFT energy (no corrections) -34.4 eV per formula unit. Number 2: ΔE_f -83 kJ/mol of formula units, total DFT energy (no corrections) -64.6 eV per formula unit. Number 3: ΔE_f -184 kJ/mol of formula units, total DFT energy (no corrections) -73.1 eV per formula unit. Number 4: ΔE_f 45 kJ/mol of formula units, total DFT energy (no corrections) -29.6 eV per formula unit. Number 5: ΔE_f 131 kJ/mol of formula units, total DFT energy (no corrections) -23.1 eV per formula unit. Number 6: ΔE_f 366 kJ/mol of formula units, total DFT energy (no corrections) -20.7 eV per formula unit. Number 7: ΔE_f -97 kJ/mol of formula units, total DFT energy (no corrections) -35.6 eV per formula unit. Number 8: ΔE_f -167 kJ/mol of formula units, total DFT energy (no corrections) -68.2 eV per formula unit. Number 9: ΔE_f -169 kJ/mol of formula units, total DFT energy (no corrections) -68.2 eV per formula unit. Number 10: ΔE_f -128 kJ/mol of formula units, total DFT energy (no corrections) -37.9 eV per formula unit. Number 11: ΔE_f -98 kJ/mol of formula units, total DFT energy (no corrections) -35.6 eV per formula unit. Number 12: ΔE_f 94 kJ/mol of formula units, total DFT energy (no corrections) -33.6 eV per formula unit.